1.
A relaxed Mn2FeSi crystal, computed with PBEsol.

Structure (CIF):
```
data_Mn2FeSi
_chemical_formula_sum 'Mn2 Fe1 Si1'
_space_group_name_H-M_alt 'P m m m'
_space_group_IT_number 47
_cell_length_a 2.8072
_cell_length_b 3.8519
_cell_length_c 3.9151
_cell_angle_alpha 90.00
_cell_angle_beta 90.00
_cell_angle_gamma 90.00
loop_
_space_group_symop_operation_xyz
'x,y,z'
'-x,-y,-z'
'-x,-y,z'
'x,y,-z'
'x,-y,-z'
'-x,y,z'
'-x,y,-z'
'x,-y,z'
loop_
_atom_site_label
_atom_site_type_symbol
_atom_site_fract_x
_atom_site_fract_y
_atom_site_fract_z
_atom_site_occupancy
Mn1 Mn 0.0000 0.0000 0.0000 1
Mn2 Mn 0.5000 0.5000 0.0000 1
Fe1 Fe 0.0000 0.5000 0.5000 1
Si1 Si 0.5000 0.0000 0.5000 1
```

Values from the calculation:
formation energy (no corrections) = -308 meV/atom
VASP energy = -35.5 eV for the cell shown


2.
A relaxed CoSi2Rh crystal, computed with PBEsol.

Structure (CIF):
```
data_CoSi2Rh
_chemical_formula_sum 'Co2 Si4 Rh2'
_space_group_name_H-M_alt 'I m m 2'
_space_group_IT_number 44
_cell_length_a 3.1272
_cell_length_b 3.4257
_cell_length_c 9.2129
_cell_angle_alpha 90.00
_cell_angle_beta 90.00
_cell_angle_gamma 90.00
loop_
_space_group_symop_operation_xyz
'x,y,z'
'-x,-y,z'
'-x,y,z'
'x,-y,z'
'x+1/2,y+1/2,z+1/2'
'-x+1/2,-y+1/2,z+1/2'
'-x+1/2,y+1/2,z+1/2'
'x+1/2,-y+1/2,z+1/2'
loop_
_atom_site_label
_atom_site_type_symbol
_atom_site_fract_x
_atom_site_fract_y
_atom_site_fract_z
_atom_site_occupancy
Co1 Co 0.0000 0.0000 0.0000 1
Si1 Si 0.0000 0.0000 0.5600 1
Si2 Si 0.0000 0.5000 0.3259 1
Rh1 Rh 0.0000 0.5000 0.7512 1
```

Values from the calculation:
formation energy (no corrections) = -559 meV/atom
VASP energy = -59.2 eV for the cell shown


- Which value of VASP energy does entry 2 give?
  -59.2 eV for the cell shown